Record 1
SmTmPb after structural relaxation. Source: Alexandria via LeMat-Bulk, functional PBE.

Values from the calculation:
The calculated formation energy is -442 meV per atom. As for the energy: -4.74 eV/atom.

```
SmTmPb
1.0
-2.318 2.318 8.481
2.318 -2.318 8.481
2.318 2.318 -8.481
Sm Tm Pb
2 2 2
Direct
0.175 0.175 0.000 Sm
0.825 0.825 0.000 Sm
0.000 0.500 0.500 Tm
0.500 0.000 0.500 Tm
0.365 0.365 0.000 Pb
0.635 0.635 0.000 Pb
```

---

Record 2
Sm2TmPb after structural relaxation. Source: Alexandria via LeMat-Bulk, functional PBE.

Values from the calculation:
The calculated formation energy is -293 meV per atom. As for the energy: -4.70 eV/atom. The value obtained for the energy above the most stable polymorph in this dataset is 0 meV/atom.

```
Sm2TmPb
1.0
4.869 0.000 0.000
0.000 4.869 0.000
0.000 0.000 4.953
Sm Tm Pb
2 1 1
Direct
0.000 0.500 0.000 Sm
0.500 0.000 0.000 Sm
0.000 0.000 0.500 Tm
0.500 0.500 0.500 Pb
```

---

Record 3
SmTm7Pb4 after structural relaxation. Source: Alexandria via LeMat-Bulk, functional PBE.

Values from the calculation:
The calculated formation energy is -34 meV per atom. As for the energy: -4.27 eV/atom.

```
SmTm7Pb4
1.0
6.399 -2.838 0.000
6.399 2.838 0.000
-5.721 0.000 9.935
Sm Tm Pb
1 7 4
Direct
0.000 0.000 0.000 Sm
0.038 0.038 0.376 Tm
0.216 0.216 0.898 Tm
0.345 0.345 0.431 Tm
0.500 0.500 0.000 Tm
0.655 0.655 0.569 Tm
0.784 0.784 0.102 Tm
0.962 0.962 0.624 Tm
0.292 0.292 0.679 Pb
0.408 0.408 0.211 Pb
0.592 0.592 0.789 Pb
0.708 0.708 0.321 Pb
```

---

Record 4
Sm2TmPb2 after structural relaxation. Source: Alexandria via LeMat-Bulk, functional PBE.

Values from the calculation:
The calculated formation energy is -461 meV per atom. As for the energy: -4.73 eV/atom. The value obtained for the energy above the most stable polymorph in this dataset is 40 meV/atom.

```
Sm2TmPb2
1.0
2.546 -9.205 0.000
2.546 9.205 0.000
0.000 0.000 6.587
Sm Tm Pb
4 2 4
Direct
0.000 0.000 0.000 Sm
0.000 0.000 0.500 Sm
0.193 0.807 0.752 Sm
0.807 0.193 0.252 Sm
0.397 0.603 0.749 Tm
0.603 0.397 0.249 Tm
0.190 0.810 0.253 Pb
0.423 0.577 0.250 Pb
0.577 0.423 0.750 Pb
0.810 0.190 0.753 Pb
```

---

Record 5
SmTm5Pb5 after structural relaxation. Source: Alexandria via LeMat-Bulk, functional PBE.

Values from the calculation:
The calculated formation energy is -225 meV per atom. As for the energy: -4.37 eV/atom.

```
SmTm5Pb5
1.0
7.773 -3.120 0.000
7.773 3.120 0.000
-1.635 0.000 7.179
Sm Tm Pb
1 5 5
Direct
0.000 0.000 0.000 Sm
0.000 0.000 0.500 Tm
0.333 0.333 0.158 Tm
0.347 0.347 0.658 Tm
0.653 0.653 0.342 Tm
0.667 0.667 0.842 Tm
0.170 0.170 0.344 Pb
0.171 0.171 0.814 Pb
0.500 0.500 0.000 Pb
0.829 0.829 0.186 Pb
0.830 0.830 0.656 Pb
```

---

Record 6
SmTmPb after structural relaxation. Source: Alexandria via LeMat-Bulk, functional PBE.

Values from the calculation:
The calculated formation energy is -213 meV per atom. As for the energy: -4.51 eV/atom.

```
SmTmPb
1.0
5.212 0.000 0.000
-2.606 4.513 0.000
0.000 0.000 3.932
Sm Tm Pb
1 1 1
Direct
0.000 0.000 0.000 Sm
0.667 0.333 0.474 Tm
0.333 0.667 0.587 Pb
```

---

Record 7
SmTm3Pb3 after structural relaxation. Source: Alexandria via LeMat-Bulk, functional PBE.

Values from the calculation:
The calculated formation energy is -301 meV per atom. As for the energy: -4.48 eV/atom. The value obtained for the energy above the most stable polymorph in this dataset is 198 meV/atom.

```
SmTm3Pb3
1.0
4.603 2.657 6.296
-4.603 2.657 6.296
0.000 -5.315 6.296
Sm Tm Pb
2 6 6
Direct
0.167 0.167 0.167 Sm
0.833 0.833 0.833 Sm
0.123 0.404 0.695 Tm
0.305 0.877 0.596 Tm
0.404 0.695 0.123 Tm
0.596 0.305 0.877 Tm
0.695 0.123 0.404 Tm
0.877 0.596 0.305 Tm
0.055 0.786 0.424 Pb
0.214 0.576 0.945 Pb
0.424 0.055 0.786 Pb
0.576 0.945 0.214 Pb
0.786 0.424 0.055 Pb
0.945 0.214 0.576 Pb
```

---

Record 8
Sm2Tm5Pb4 after structural relaxation. Source: Alexandria via LeMat-Bulk, functional PBE.

Values from the calculation:
The calculated formation energy is -105 meV per atom. As for the energy: -4.34 eV/atom.

```
Sm2Tm5Pb4
1.0
12.505 -1.731 0.000
12.505 1.731 0.000
-0.437 0.000 7.836
Sm Tm Pb
2 5 4
Direct
0.095 0.095 0.217 Sm
0.905 0.905 0.783 Sm
0.141 0.141 0.643 Tm
0.236 0.236 0.318 Tm
0.500 0.500 0.500 Tm
0.764 0.764 0.682 Tm
0.859 0.859 0.357 Tm
0.035 0.035 0.838 Pb
0.316 0.316 0.014 Pb
0.684 0.684 0.986 Pb
0.965 0.965 0.162 Pb
```

---

Which of these has the highest energy? SmTm7Pb4

---

Number 2 is which compound? Sm2TmPb